No. 1
Entry from Alexandria via LeMat-Bulk: HgGe3Ru after structural relaxation (GGA-PBE).

Excess energy over the best structure of this formula in the dataset in eV per formula unit: 0.00
M_tot in μB/cell: 0.00
Symmetry: Pm-3m (221)

a = 4.8415 Å, b = 4.8415 Å, c = 4.8415 Å
α = 90.00°, β = 90.00°, γ = 90.00°
Positions (direct):
1 Ge 0.5000 0.0000 0.0000
2 Ge 0.0000 0.5000 0.0000
3 Hg 0.5000 0.5000 0.5000
4 Ru 0.0000 0.0000 0.0000
5 Ge 0.0000 0.0000 0.5000

No. 2
Entry from Alexandria via LeMat-Bulk: HgGeRu2 after structural relaxation (GGA-PBE).

Excess energy over the best structure of this formula in the dataset in eV per formula unit: 0.00
M_tot in μB/cell: 0.00
Symmetry: Fm-3m (225)

a = 4.4649 Å, b = 4.4649 Å, c = 4.4649 Å
α = 60.00°, β = 60.00°, γ = 60.00°
Positions (direct):
1 Ge 0.0000 0.0000 0.0000
2 Ru 0.7500 0.7500 0.7500
3 Hg 0.5000 0.5000 0.5000
4 Ru 0.2500 0.2500 0.2500

No. 3
Entry from Alexandria via LeMat-Bulk: HgGeRu after structural relaxation (GGA-PBE).

Excess energy over the best structure of this formula in the dataset in eV per formula unit: 0.30
M_tot in μB/cell: 0.00
Symmetry: P4/nmm (129)

a = 3.4518 Å, b = 3.4518 Å, c = 9.8737 Å
α = 90.00°, β = 90.00°, γ = 90.00°
Positions (direct):
1 Ru 0.0000 0.5000 0.6071
2 Ru 0.5000 0.0000 0.3929
3 Ge 0.0000 0.5000 0.3499
4 Ge 0.5000 0.0000 0.6501
5 Hg 0.5000 0.0000 0.1042
6 Hg 0.0000 0.5000 0.8958

No. 4
Entry from Alexandria via LeMat-Bulk: HgGeRu after structural relaxation (GGA-PBE).

Excess energy over the best structure of this formula in the dataset in eV per formula unit: 0.06
M_tot in μB/cell: 0.00
Symmetry: P2/m (10)

a = 6.3705 Å, b = 2.9968 Å, c = 6.4155 Å
α = 90.00°, β = 95.00°, γ = 90.00°
Positions (direct):
1 Ge 0.5000 0.0000 0.0000
2 Hg 0.0000 0.0000 0.5000
3 Hg 0.5000 0.5000 0.5000
4 Ru 0.7668 0.5000 0.1779
5 Ru 0.2332 0.5000 0.8221
6 Ge 0.0000 0.0000 0.0000

Number 1: energy of formation from the pure elements 213 meV/atom, density 7.6 g/cm3. Number 2: energy of formation from the pure elements 327 meV/atom, density 12.5 g/cm3. Number 3: energy of formation from the pure elements 116 meV/atom, density 10.6 g/cm3. Number 4: energy of formation from the pure elements 37 meV/atom, density 10.2 g/cm3.